1.
The following is a PBE-GGA calculation of an optimized crystal structure of PmHoSnBi, from the Alexandria database.

Cell and atoms, written as POSCAR:
```
PmHoSnBi
1.0
7.7653 0.0000 0.0000
0.0000 7.7653 0.0000
0.0000 0.0000 7.7653
Pm Ho Sn Bi
4 4 4 4
Cartesian
0.0000 0.0000 0.0000 Pm
0.0000 3.8827 3.8827 Pm
3.8827 0.0000 3.8827 Pm
3.8827 3.8827 0.0000 Pm
0.0000 0.0000 3.8827 Ho
0.0000 3.8827 0.0000 Ho
3.8827 0.0000 0.0000 Ho
3.8827 3.8827 3.8827 Ho
1.9413 1.9413 1.9413 Sn
1.9413 5.8240 5.8240 Sn
5.8240 1.9413 5.8240 Sn
5.8240 5.8240 1.9413 Sn
1.9413 1.9413 5.8240 Bi
1.9413 5.8240 1.9413 Bi
5.8240 1.9413 1.9413 Bi
5.8240 5.8240 5.8240 Bi
```

Results
For the raw total energy, the calculation gives -4.851 eV/atom. The crystal system is cubic. The value obtained for the energy relative to the elements is -0.55 eV/atom.


2.
The following is a PBE-GGA calculation of an optimized crystal structure of TbPm2HoBi4, from the Alexandria database.

Cell and atoms, written as POSCAR:
```
TbPm2HoBi4
1.0
7.8393 0.0000 0.0000
0.0000 4.5313 0.0000
-2.6156 0.0000 7.3950
Tb Pm Ho Bi
1 2 1 4
Cartesian
0.0000 0.0000 0.0000 Tb
2.6119 0.0000 3.6975 Pm
3.9196 2.2656 0.0000 Pm
-1.3078 2.2656 3.6975 Ho
-0.0497 0.0000 5.5212 Bi
1.2575 2.2656 1.8402 Bi
5.2734 0.0000 1.8738 Bi
3.9662 2.2656 5.5548 Bi
```

Results
For the raw total energy, the calculation gives -5.177 eV/atom. The crystal system is monoclinic. The value obtained for the energy relative to the elements is -0.90 eV/atom.


3.
The following is a PBE-GGA calculation of an optimized crystal structure of Tb2Pm3HoBi6, from the Alexandria database.

Cell and atoms, written as POSCAR:
```
Tb2Pm3HoBi6
1.0
9.8692 -2.2659 0.0000
9.8692 2.2659 0.0000
-2.0633 0.0000 8.8205
Tb Pm Ho Bi
2 3 1 6
Cartesian
2.5991 0.0000 2.9377 Tb
15.0759 0.0000 5.8828 Tb
1.5772 0.0000 7.3501 Pm
8.8375 0.0000 4.4102 Pm
16.0978 0.0000 1.4703 Pm
9.8692 0.0000 0.0000 Ho
-0.4847 0.0000 2.1622 Bi
5.6865 0.0000 3.7051 Bi
4.7321 0.0000 8.0619 Bi
12.9429 0.0000 0.7586 Bi
11.9885 0.0000 5.1154 Bi
18.1597 0.0000 6.6582 Bi
```

Results
For the raw total energy, the calculation gives -5.183 eV/atom. The crystal system is monoclinic. The value obtained for the energy relative to the elements is -0.90 eV/atom.


4.
The following is a PBE-GGA calculation of an optimized crystal structure of Tb2PmHoBi4, from the Alexandria database.

Cell and atoms, written as POSCAR:
```
Tb2PmHoBi4
1.0
7.8049 0.0000 0.0000
0.0000 4.5094 0.0000
-2.6028 0.0000 7.3599
Tb Pm Ho Bi
2 1 1 4
Cartesian
0.0000 0.0000 0.0000 Tb
3.9025 2.2547 0.0000 Tb
-1.3014 2.2547 3.6799 Pm
2.6010 0.0000 3.6799 Ho
1.3284 2.2547 1.8365 Bi
0.0272 0.0000 5.5426 Bi
5.1749 0.0000 1.8173 Bi
3.8737 2.2547 5.5233 Bi
```

Results
For the raw total energy, the calculation gives -5.145 eV/atom. The crystal system is monoclinic. The value obtained for the energy relative to the elements is -0.88 eV/atom.


5.
The following is a PBE-GGA calculation of an optimized crystal structure of TbPm2Ho3Bi6, from the Alexandria database.

Cell and atoms, written as POSCAR:
```
TbPm2Ho3Bi6
1.0
9.8157 -2.2534 0.0000
9.8157 2.2534 0.0000
-2.0530 0.0000 8.7727
Tb Pm Ho Bi
1 2 3 6
Cartesian
0.0000 0.0000 0.0000 Tb
5.1824 0.0000 5.8551 Pm
12.3960 0.0000 2.9176 Pm
-1.0265 0.0000 4.3864 Ho
6.1859 0.0000 1.4617 Ho
11.3924 0.0000 7.3110 Ho
2.0322 0.0000 5.1538 Bi
3.1150 0.0000 0.6801 Bi
9.2572 0.0000 2.1955 Bi
8.3211 0.0000 6.5772 Bi
14.4633 0.0000 8.0926 Bi
15.5462 0.0000 3.6189 Bi
```

Results
For the raw total energy, the calculation gives -5.139 eV/atom. The crystal system is monoclinic. The value obtained for the energy relative to the elements is -0.88 eV/atom.


6.
The following is a PBE-GGA calculation of an optimized crystal structure of Tb2PmHo3Bi6, from the Alexandria database.

Cell and atoms, written as POSCAR:
```
Tb2PmHo3Bi6
1.0
9.7842 -2.2457 0.0000
9.7842 2.2457 0.0000
-2.0495 0.0000 8.7454
Tb Pm Ho Bi
2 1 3 6
Cartesian
2.5866 0.0000 2.9140 Tb
14.9323 0.0000 5.8314 Tb
9.7842 0.0000 0.0000 Pm
1.5390 0.0000 7.2797 Ho
8.7595 0.0000 4.3727 Ho
15.9799 0.0000 1.4658 Ho
19.0444 0.0000 2.2345 Bi
-1.5255 0.0000 6.5109 Bi
4.5992 0.0000 8.0232 Bi
5.6815 0.0000 3.6371 Bi
11.8374 0.0000 5.1083 Bi
12.9197 0.0000 0.7222 Bi
```

Results
For the raw total energy, the calculation gives -5.119 eV/atom. The crystal system is monoclinic. The value obtained for the energy relative to the elements is -0.87 eV/atom.


7.
The following is a PBE-GGA calculation of an optimized crystal structure of TbPmHo2Bi4, from the Alexandria database.

Cell and atoms, written as POSCAR:
```
TbPmHo2Bi4
1.0
7.7896 0.0000 0.0000
0.0000 4.5021 0.0000
-2.5992 0.0000 7.3468
Tb Pm Ho Bi
1 1 2 4
Cartesian
0.0000 0.0000 0.0000 Tb
-1.2996 2.2510 3.6734 Pm
2.5952 0.0000 3.6734 Ho
3.8948 2.2510 0.0000 Ho
1.3336 2.2510 1.8282 Bi
0.0330 0.0000 5.5442 Bi
5.1573 0.0000 1.8025 Bi
3.8568 2.2510 5.5186 Bi
```

Results
For the raw total energy, the calculation gives -5.128 eV/atom. The crystal system is monoclinic. The value obtained for the energy relative to the elements is -0.87 eV/atom.


8.
The following is a PBE-GGA calculation of an optimized crystal structure of PmHoBiTe, from the Alexandria database.

Cell and atoms, written as POSCAR:
```
PmHoBiTe
1.0
4.4695 0.0000 0.0000
0.0000 4.4695 0.0000
0.0000 0.0000 6.2994
Pm Ho Bi Te
1 1 1 1
Cartesian
0.0000 0.0000 0.0000 Pm
2.2348 2.2348 3.1395 Ho
2.2348 2.2348 6.2898 Bi
0.0000 0.0000 3.1485 Te
```

Results
For the raw total energy, the calculation gives -5.198 eV/atom. The crystal system is tetragonal.


9.
The following is a PBE-GGA calculation of an optimized crystal structure of Pm2HoThBi4, from the Alexandria database.

Cell and atoms, written as POSCAR:
```
Pm2HoThBi4
1.0
7.8751 0.0000 0.0000
0.0000 4.5649 0.0000
-2.6347 0.0000 7.4452
Pm Ho Th Bi
2 1 1 4
Cartesian
0.0000 0.0000 0.0000 Pm
3.9376 2.2825 0.0000 Pm
-1.3174 2.2825 3.7226 Ho
2.6202 0.0000 3.7226 Th
-0.0386 0.0000 5.5446 Bi
1.2755 2.2825 1.8721 Bi
3.9649 2.2825 5.5731 Bi
5.2790 0.0000 1.9006 Bi
```

Results
For the raw total energy, the calculation gives -5.460 eV/atom. The crystal system is monoclinic. The value obtained for the energy relative to the elements is -0.83 eV/atom.


10.
The following is a PBE-GGA calculation of an optimized crystal structure of PmHoTh2Bi5, from the Alexandria database.

Cell and atoms, written as POSCAR:
```
PmHoTh2Bi5
1.0
5.3976 0.0000 0.0000
0.0000 5.3976 0.0000
0.0000 0.0000 11.8533
Pm Ho Th Bi
1 1 2 5
Cartesian
0.0000 0.0000 0.0000 Pm
0.0000 0.0000 5.9266 Ho
2.6988 2.6988 3.5316 Th
2.6988 2.6988 8.3217 Th
0.0000 0.0000 2.9653 Bi
0.0000 0.0000 8.8880 Bi
0.0000 2.6988 5.9266 Bi
2.6988 0.0000 5.9266 Bi
2.6988 2.6988 0.0000 Bi
```

Results
For the raw total energy, the calculation gives -4.828 eV/atom. The crystal system is tetragonal. The value obtained for the energy relative to the elements is 0.01 eV/atom.


11.
The following is a PBE-GGA calculation of an optimized crystal structure of Pm3HoTh2Bi6, from the Alexandria database.

Cell and atoms, written as POSCAR:
```
Pm3HoTh2Bi6
1.0
9.9583 -2.2867 0.0000
9.9583 2.2867 0.0000
-2.1124 0.0000 8.8835
Pm Ho Th Bi
3 1 2 6
Cartesian
0.0000 0.0000 0.0000 Pm
5.2185 0.0000 5.9138 Pm
12.5857 0.0000 2.9697 Pm
-1.0562 0.0000 4.4417 Ho
6.3207 0.0000 1.5013 Th
11.4835 0.0000 7.3822 Th
2.0435 0.0000 5.1580 Bi
3.1456 0.0000 0.7481 Bi
8.3613 0.0000 6.6080 Bi
9.4429 0.0000 2.2754 Bi
14.6586 0.0000 8.1354 Bi
15.7607 0.0000 3.7255 Bi
```

Results
For the raw total energy, the calculation gives -5.552 eV/atom. The crystal system is monoclinic. The value obtained for the energy relative to the elements is -0.81 eV/atom.


Question: raw total energy of number 10 (PmHoTh2Bi5)?
Answer: -4.828 eV/atom